Record 1
Below is an optimized crystal structure of Cs3RuBr6, with properties calculated at the GGA-PBE level.

Summary:
E_tot: -3.34 eV/atom
Density of states at the Fermi level: 1.0161 states/eV/atom

Unit cell a=8.6313 b=8.0777 c=8.0777 alpha=59.74 beta=62.04 gamma=62.04
Site moments in Bohr magnetons follow the coordinates.
Positions (direct):
Br  0.3472  0.6713  0.2276  0.02
Cs  0.2680  0.2358  0.2358  0.00
Br  0.7805  0.2971  0.2971  0.01
Ru  0.5000  0.5000  0.5000  0.79
Cs  0.7320  0.7642  0.7642  0.00
Cs  0.0000  0.0000  0.0000  0.00
Br  0.3472  0.2276  0.6713  0.02
Br  0.6528  0.3287  0.7724  0.02
Br  0.2195  0.7029  0.7029  0.01
Br  0.6528  0.7724  0.3287  0.02


Record 2
Below is an optimized crystal structure of CaAcSc2, with properties calculated at the GGA-PBE level.

Summary:
Formation energy from the elements: 0.34 eV/atom
E_tot: -4.35 eV/atom
Density of states at the Fermi level: 1.4367 states/eV/atom

Unit cell a=3.5451 b=3.5451 c=12.3098 alpha=81.72 beta=81.72 gamma=60.00
Positions (direct):
Ac  0.5000  0.5000  0.5000
Sc  0.0889  0.0889  0.7332
Ca  0.0000  0.0000  0.0000
Sc  0.9111  0.9111  0.2668


Record 3
Below is an optimized crystal structure of LiNb2Pt2, with properties calculated at the GGA-PBE level.

Summary:
Formation energy from the elements: -0.41 eV/atom
E_tot: -7.24 eV/atom
Density of states at the Fermi level: 0.6575 states/eV/atom

Unit cell a=7.9389 b=7.9389 c=2.8385 alpha=90.00 beta=90.00 gamma=90.00
Positions (direct):
Nb  0.3345  0.1655  0.5000
Pt  0.6296  0.1296  0.0000
Nb  0.8345  0.3345  0.5000
Nb  0.6655  0.8345  0.5000
Nb  0.1655  0.6655  0.5000
Pt  0.3704  0.8704  0.0000
Li  0.5000  0.5000  0.0000
Li  0.0000  0.0000  0.0000
Pt  0.1296  0.3704  0.0000
Pt  0.8704  0.6296  0.0000


Record 4
Below is an optimized crystal structure of TaCrTcBi2, with properties calculated at the GGA-PBE level.

Summary:
Formation energy from the elements: 1.67 eV/atom
E_tot: -6.25 eV/atom
Density of states at the Fermi level: 1.3475 states/eV/atom

Unit cell a=5.2087 b=4.8528 c=5.2087 alpha=90.00 beta=90.00 gamma=90.00
Site moments in Bohr magnetons follow the coordinates.
Positions (direct):
Bi  0.5000  0.0000  0.0000  -0.01
Tc  0.0000  0.0000  0.0000  0.07
Bi  0.0000  0.0000  0.5000  -0.04
Ta  0.0000  0.5000  0.0000  0.53
Cr  0.5000  0.5000  0.5000  0.14


Record 5
Below is an optimized crystal structure of KNbH3, with properties calculated at the GGA-PBE level.

Summary:
E_tot: -2.87 eV/atom
Density of states at the Fermi level: 0.1598 states/eV/atom

Unit cell a=4.2020 b=4.2020 c=4.2020 alpha=90.00 beta=90.00 gamma=90.00
Site moments in Bohr magnetons follow the coordinates.
Positions (direct):
Nb  0.5000  0.5000  0.5000  2.59
H  0.0000  0.0000  0.5000  -0.08
H  0.5000  0.0000  0.0000  -0.09
K  0.0000  0.0000  0.0000  -0.01
H  0.0000  0.5000  0.0000  -0.07


Record 6
Below is an optimized crystal structure of CeNdAgPd, with properties calculated at the GGA-PBE level.

Summary:
Formation energy from the elements: -0.39 eV/atom
E_tot: -5.07 eV/atom
Density of states at the Fermi level: 2.3086 states/eV/atom

Unit cell a=5.1921 b=5.1921 c=5.1921 alpha=60.00 beta=60.00 gamma=60.00
Site moments in Bohr magnetons follow the coordinates.
Positions (direct):
Ce  0.0000  0.0000  0.0000  0.81
Pd  0.7500  0.7500  0.7500  -0.01
Ag  0.2500  0.2500  0.2500  0.01
Nd  0.5000  0.5000  0.5000  0.06


Please write out number 5 again, unchanged.
Below is an optimized crystal structure of KNbH3, with properties calculated at the GGA-PBE level.

Summary:
E_tot: -2.87 eV/atom
Density of states at the Fermi level: 0.1598 states/eV/atom

Unit cell a=4.2020 b=4.2020 c=4.2020 alpha=90.00 beta=90.00 gamma=90.00
Site moments in Bohr magnetons follow the coordinates.
Positions (direct):
Nb  0.5000  0.5000  0.5000  2.59
H  0.0000  0.0000  0.5000  -0.08
H  0.5000  0.0000  0.0000  -0.09
K  0.0000  0.0000  0.0000  -0.01
H  0.0000  0.5000  0.0000  -0.07